(1)
# KRb2IO (GGA-PBE, optimized geometry)
# total moment: 0.00 μB per formula unit
# VASP energy: -15.542 eV per cell
# energy relative to the elements, uncorrected: -579.0 kJ/mol of formula units
data_KRb2IO
_chemical_formula_sum 'K1 Rb2 I1 O1'
_space_group_name_H-M_alt 'P 4/m m m'
_space_group_IT_number 123
_space_group_name_Hall '-P 4 2'
_cell_length_a 5.680
_cell_length_b 5.680
_cell_length_c 5.376
_cell_angle_alpha 90.00
_cell_angle_beta 90.00
_cell_angle_gamma 90.00
loop_
_atom_site_label
_atom_site_fract_x
_atom_site_fract_y
_atom_site_fract_z
_atom_site_occupancy
K1 0.000 0.000 0.000 1
Rb1 0.000 0.500 0.500 1
I1 0.500 0.500 0.000 1
O1 0.000 0.000 0.500 1

=====

(2)
# K3Rb2IO6 (GGA-PBE, optimized geometry)
# total moment: 0.00 μB per formula unit
# VASP energy: -101.620 eV per cell
# energy relative to the elements, uncorrected: -1378.1 kJ/mol of formula units
data_K3Rb2IO6
_chemical_formula_sum 'K6 Rb4 I2 O12'
_space_group_name_H-M_alt 'C 1 2/m 1'
_space_group_IT_number 12
_cell_length_a 6.797
_cell_length_b 11.696
_cell_length_c 6.383
_cell_angle_alpha 90.00
_cell_angle_beta 112.24
_cell_angle_gamma 90.00
loop_
_space_group_symop_operation_xyz
'x,y,z'
'-x,-y,-z'
'-x,y,-z'
'x,-y,z'
'x+1/2,y+1/2,z'
'-x+1/2,-y+1/2,-z'
'-x+1/2,y+1/2,-z'
'x+1/2,-y+1/2,z'
loop_
_atom_site_label
_atom_site_fract_x
_atom_site_fract_y
_atom_site_fract_z
_atom_site_occupancy
K1 0.000 0.000 0.000 1
K2 0.000 0.346 0.000 1
Rb1 0.000 0.168 0.500 1
I1 0.000 0.500 0.500 1
O1 0.174 0.500 0.320 1
O2 0.181 0.383 0.696 1

=====

(3)
# K2Rb3IO6 (GGA-PBE, optimized geometry)
# total moment: 0.00 μB per formula unit
# VASP energy: -101.194 eV per cell
# energy relative to the elements, uncorrected: -1370.1 kJ/mol of formula units
data_K2Rb3IO6
_chemical_formula_sum 'K4 Rb6 I2 O12'
_space_group_name_H-M_alt 'C 1 2/m 1'
_space_group_IT_number 12
_cell_length_a 6.615
_cell_length_b 11.325
_cell_length_c 6.586
_cell_angle_alpha 90.00
_cell_angle_beta 109.75
_cell_angle_gamma 90.00
loop_
_space_group_symop_operation_xyz
'x,y,z'
'-x,-y,-z'
'-x,y,-z'
'x,-y,z'
'x+1/2,y+1/2,z'
'-x+1/2,-y+1/2,-z'
'-x+1/2,y+1/2,-z'
'x+1/2,-y+1/2,z'
loop_
_atom_site_label
_atom_site_fract_x
_atom_site_fract_y
_atom_site_fract_z
_atom_site_occupancy
K1 0.000 0.166 0.000 1
Rb1 0.000 0.000 0.500 1
Rb2 0.000 0.330 0.500 1
I1 0.000 0.500 0.000 1
O1 0.178 0.500 0.818 1
O2 0.181 0.379 0.181 1

=====

(4)
# K2RbIO6 (GGA-PBE, optimized geometry)
# total moment: 2.00 μB per formula unit
# VASP energy: -130.737 eV per cell
# energy relative to the elements, uncorrected: -879.7 kJ/mol of formula units
data_K2RbIO6
_chemical_formula_sum 'K6 Rb3 I3 O18'
_space_group_name_H-M_alt 'R -3'
_space_group_IT_number 148
_space_group_name_Hall '-R 3'
_cell_length_a 6.5597
_cell_length_b 6.5597
_cell_length_c 15.4211
_cell_angle_alpha 90.00
_cell_angle_beta 90.00
_cell_angle_gamma 120.00
loop_
_atom_site_label
_atom_site_fract_x
_atom_site_fract_y
_atom_site_fract_z
_atom_site_occupancy
K1 0.0000 0.0000 0.2404 1
Rb1 0.0000 0.0000 0.5000 1
I1 0.0000 0.0000 0.0000 1
O1 0.0429 0.2532 0.0709 1